CsHfTe2: optimized geometry, PBE.

CIF file:
```
data_CsHfTe2
_symmetry_space_group_name_H-M 'P n m a'
_symmetry_Int_Tables_number 62
_cell_length_a 7.734
_cell_length_b 3.823
_cell_length_c 20.094
_cell_angle_alpha 90.00
_cell_angle_beta 90.00
_cell_angle_gamma 90.00
loop_
_symmetry_equiv_pos_as_xyz
'x,y,z'
'-x,-y,-z'
'-x+1/2,-y,z+1/2'
'x+1/2,y,-z+1/2'
'x+1/2,-y+1/2,-z+1/2'
'-x+1/2,y+1/2,z+1/2'
'-x,y+1/2,-z'
'x,-y+1/2,z'
loop_
_atom_site_label
_atom_site_fract_x
_atom_site_fract_y
_atom_site_fract_z
Cs1 0.248 0.250 0.083
Hf1 0.248 0.750 0.309
Te1 0.002 0.750 0.750
Te2 0.248 0.250 0.416
```

Values from the calculation:
Fermi-level density of states	0.570	states/eV per atom

***

Cs3HfTe3: optimized geometry, PBE.

CIF file:
```
data_Cs3HfTe3
_symmetry_space_group_name_H-M 'P 1 21/c 1'
_symmetry_Int_Tables_number 14
_cell_length_a 9.421
_cell_length_b 15.299
_cell_length_c 12.195
_cell_angle_alpha 90.00
_cell_angle_beta 127.53
_cell_angle_gamma 90.00
loop_
_symmetry_equiv_pos_as_xyz
'x,y,z'
'-x,-y,-z'
'-x,y+1/2,-z+1/2'
'x,-y+1/2,z+1/2'
loop_
_atom_site_label
_atom_site_fract_x
_atom_site_fract_y
_atom_site_fract_z
Cs1 0.101 0.141 0.482
Cs2 0.144 0.066 0.897
Cs3 0.377 0.692 0.585
Hf1 0.444 0.050 0.360
Te1 0.146 0.157 0.195
Te2 0.345 0.620 0.872
Te3 0.373 0.543 0.251
```

***

CsHfTe2: optimized geometry, PBE.

CIF file:
```
data_CsHfTe2
_symmetry_space_group_name_H-M 'P 3 m 1'
_symmetry_Int_Tables_number 156
_cell_length_a 4.1788
_cell_length_b 4.1788
_cell_length_c 9.7761
_cell_angle_alpha 90.00
_cell_angle_beta 90.00
_cell_angle_gamma 120.00
loop_
_symmetry_equiv_pos_as_xyz
'x,y,z'
'-y,x-y,z'
'-x+y,-x,z'
'-y,-x,z'
'-x+y,y,z'
'x,x-y,z'
loop_
_atom_site_label
_atom_site_fract_x
_atom_site_fract_y
_atom_site_fract_z
Cs1 0.0000 0.0000 0.0000
Hf1 0.6667 0.3333 0.5508
Te1 0.0000 0.0000 0.3792
Te2 0.3333 0.6667 0.7225
```

Values from the calculation:
Fermi-level density of states	0.815	states/eV per atom

***

One value per record, in order, for M_tot: 0.00; 0.00; 0.00 μB/cell.
One value per record, in order, for DFT total energy: -4.988; -4.114; -5.042 eV per atom.